# 1
Below is a geometry-optimized TiAlMo3 structure, with properties calculated at the PBE level.

Calculated values
Space-group type: Pm-3m (221)
Energy of formation in eV/atom: 1.34
Excess energy over the best structure of this formula in the dataset in eV/atom: 0.010
Total energy in eV per atom: -7.49

Cell lengths 4.5569, 4.5569, 4.5569 Å; angles 90.00, 90.00, 90.00 degrees
With the nearest neighbours (Å) after each atom.
Sites, in units of the cell vectors:
Mo: 0.0000 0.5000 0.0000  2 Ti 2.28
Mo: 0.5000 0.0000 0.0000  2 Ti 2.28
Mo: 0.0000 0.0000 0.5000  2 Ti 2.28
Ti: 0.0000 0.0000 0.0000  6 Mo 2.28
Al: 0.5000 0.5000 0.5000  12 Mo 3.22

***

# 2
Below is a geometry-optimized Ti2Al3Mo structure, with properties calculated at the PBE level.

Calculated values
Space-group type: Cmmm (65)
Energy of formation in eV/atom: -0.36
Total energy in eV per atom: -6.66

Cell lengths 8.4289, 5.8846, 5.8846 Å; angles 139.65, 90.00, 90.00 degrees
With the nearest neighbours (Å) after each atom.
Sites, in units of the cell vectors:
Ti: 0.2196 0.3384 0.6616  2 Mo 2.70, 8 Al 2.76-2.93, 2 Ti 2.82
Ti: 0.7196 0.3384 0.6616  2 Mo 2.70, 8 Al 2.76-2.93, 2 Ti 2.82
Ti: 0.7196 0.6616 0.3384  2 Mo 2.70, 8 Al 2.76-2.93, 2 Ti 2.82
Ti: 0.2196 0.6616 0.3384  2 Mo 2.70, 8 Al 2.76-2.93, 2 Ti 2.82
Mo: 0.7196 0.0000 0.0000  4 Ti 2.70, 8 Al 2.78-2.93
Mo: 0.2196 0.0000 0.0000  4 Ti 2.70, 8 Al 2.78-2.93
Al: 0.9696 0.5002 0.5002  4 Al 2.73, 4 Ti 2.76, 4 Mo 2.92-2.93
Al: 0.4696 0.1647 0.8351  4 Al 2.73-2.77, 2 Mo 2.78, 6 Ti 2.85-2.93
Al: 0.4696 0.4998 0.4998  4 Al 2.73, 4 Ti 2.76, 4 Mo 2.92-2.93
Al: 0.4696 0.8351 0.1647  4 Al 2.73-2.77, 2 Mo 2.78, 6 Ti 2.85-2.93
Al: 0.9696 0.8353 0.1649  4 Al 2.73-2.77, 2 Mo 2.78, 6 Ti 2.85-2.93
Al: 0.9696 0.1649 0.8353  4 Al 2.73-2.77, 2 Mo 2.78, 6 Ti 2.85-2.93

***

# 3
Below is a geometry-optimized Ti5Al2Mo structure, with properties calculated at the PBE level.

Calculated values
Space-group type: I4/mmm (139)
Energy of formation in eV/atom: -0.26
Total energy in eV per atom: -7.48

Cell lengths 4.6277, 4.6277, 6.9507 Å; angles 109.44, 109.44, 90.00 degrees
With the nearest neighbours (Å) after each atom.
Sites, in units of the cell vectors:
Ti: 0.5000 0.5000 0.0000  8 Ti 2.74
Ti: 0.1200 0.6200 0.2401  2 Mo 2.74, 3 Ti 2.74-2.94, 4 Al 2.81
Ti: 0.6200 0.1200 0.2401  2 Mo 2.74, 3 Ti 2.74-2.94, 4 Al 2.81
Ti: 0.8800 0.3800 0.7599  3 Ti 2.74-2.94, 2 Mo 2.74, 4 Al 2.81
Ti: 0.3800 0.8800 0.7599  2 Mo 2.74, 3 Ti 2.74-2.94, 4 Al 2.81
Al: 0.7506 0.7506 0.5011  9 Ti 2.81-3.07, 1 Mo 3.06
Al: 0.2494 0.2494 0.4989  9 Ti 2.81-3.07, 1 Mo 3.06
Mo: 0.0000 0.0000 0.0000  8 Ti 2.74, 2 Al 3.06

***

# 4
Below is a geometry-optimized Ti6Al5Mo structure, with properties calculated at the PBE level.

Calculated values
Space-group type: Cmmm (65)
Energy of formation in eV/atom: -0.33
Total energy in eV per atom: -6.74

Cell lengths 4.5404, 6.2477, 7.1670 Å; angles 90.00, 71.53, 90.00 degrees
With the nearest neighbours (Å) after each atom.
Sites, in units of the cell vectors:
Al: 0.3311 0.5000 0.3379  8 Ti 2.75-2.78
Al: 0.6689 0.5000 0.6621  8 Ti 2.75-2.78
Al: 0.3413 0.0000 0.3175  8 Ti 2.68-2.82
Al: 0.0000 0.5000 0.0000  8 Ti 2.74-2.78
Al: 0.6587 0.0000 0.6825  8 Ti 2.68-2.82
Ti: 0.8331 0.2429 0.3337  1 Mo 2.73, 7 Al 2.73-2.82, 1 Ti 3.04
Ti: 0.5000 0.2547 0.0000  6 Al 2.68-2.76, 2 Mo 2.77
Ti: 0.1669 0.7571 0.6663  1 Mo 2.73, 7 Al 2.73-2.82, 1 Ti 3.04
Ti: 0.5000 0.7453 0.0000  6 Al 2.68-2.76, 2 Mo 2.77
Ti: 0.1669 0.2429 0.6663  1 Mo 2.73, 7 Al 2.73-2.82, 1 Ti 3.04
Ti: 0.8331 0.7571 0.3337  1 Mo 2.73, 7 Al 2.73-2.82, 1 Ti 3.04
Mo: 0.0000 0.0000 0.0000  8 Ti 2.73-2.77

***

# 5
Below is a geometry-optimized Ti2AlMo structure, with properties calculated at the PBE level.

Calculated values
Space-group type: I-42d (122)
Energy of formation in eV/atom: 0.30
Total energy in eV per atom: -7.30

Cell lengths 7.1779, 7.1779, 5.7341 Å; angles 51.25, 51.25, 90.00 degrees
With the nearest neighbours (Å) after each atom.
Sites, in units of the cell vectors:
Ti: 0.8750 0.8934 0.7500  2 Mo 2.54, 2 Ti 2.68, 2 Al 2.72
Ti: 0.3750 0.3566 0.7500  2 Mo 2.54, 2 Ti 2.68, 2 Al 2.72
Ti: 0.6434 0.1250 0.2500  2 Mo 2.54, 2 Ti 2.68, 2 Al 2.72
Ti: 0.1066 0.6250 0.2500  2 Mo 2.54, 2 Ti 2.68, 2 Al 2.72
Al: 0.2500 0.7500 0.5000  2 Mo 2.67, 4 Ti 2.72
Al: 0.5000 0.5000 0.0000  2 Mo 2.67, 4 Ti 2.72
Mo: 0.0000 0.0000 0.0000  4 Ti 2.54, 2 Al 2.67
Mo: 0.7500 0.2500 0.5000  4 Ti 2.54, 2 Al 2.67

***

# 6
Below is a geometry-optimized Ti3Al3Mo2 structure, with properties calculated at the PBE level.

Calculated values
Space-group type: Immm (71)
Energy of formation in eV/atom: -0.20
Total energy in eV per atom: -7.27

Cell lengths 4.4704, 4.3385, 7.3489 Å; angles 107.19, 107.71, 90.00 degrees
With the nearest neighbours (Å) after each atom.
Sites, in units of the cell vectors:
Mo: 0.7425 0.7422 0.4851  4 Ti 2.60-2.77, 4 Al 2.65-2.71
Mo: 0.2575 0.2578 0.5149  4 Ti 2.60-2.77, 4 Al 2.65-2.71
Ti: 0.3655 0.8657 0.7311  4 Mo 2.60-2.77, 2 Ti 2.81, 2 Al 2.86
Ti: 0.5000 0.5000 0.0000  4 Ti 2.81, 8 Al 2.87-3.11
Ti: 0.6345 0.1343 0.2689  4 Mo 2.60-2.77, 2 Ti 2.81, 2 Al 2.86
Al: 0.1351 0.6353 0.2702  4 Mo 2.65-2.71, 2 Al 2.82, 2 Ti 2.87
Al: 0.8649 0.3647 0.7298  4 Mo 2.65-2.71, 2 Al 2.82, 2 Ti 2.87
Al: 0.0000 0.0000 0.0000  4 Al 2.82, 8 Ti 2.86-3.11

***

# 7
Below is a geometry-optimized Ti2AlMo2 structure, with properties calculated at the PBE level.

Calculated values
Space-group type: P4/mbm (127)
Energy of formation in eV/atom: 0.08
Excess energy over the best structure of this formula in the dataset in eV/atom: 0.251
Total energy in eV per atom: -8.16

Cell lengths 6.9037, 6.9037, 3.5276 Å; angles 90.00, 90.00, 90.00 degrees
With the nearest neighbours (Å) after each atom.
Sites, in units of the cell vectors:
Ti: 0.3418 0.1582 0.5000  6 Mo 2.59-2.75
Ti: 0.8418 0.3418 0.5000  6 Mo 2.59-2.75
Ti: 0.1582 0.6582 0.5000  6 Mo 2.59-2.75
Ti: 0.6582 0.8418 0.5000  6 Mo 2.59-2.75
Al: 0.5000 0.5000 0.0000  4 Mo 2.64
Al: 0.0000 0.0000 0.0000  4 Mo 2.64
Mo: 0.3529 0.8529 0.0000  6 Ti 2.59-2.75, 2 Al 2.64, 1 Mo 2.87
Mo: 0.6471 0.1471 0.0000  6 Ti 2.59-2.75, 2 Al 2.64, 1 Mo 2.87
Mo: 0.8529 0.6471 0.0000  6 Ti 2.59-2.75, 2 Al 2.64, 1 Mo 2.87
Mo: 0.1471 0.3529 0.0000  6 Ti 2.59-2.75, 2 Al 2.64, 1 Mo 2.87

***

# 8
Below is a geometry-optimized TiAl3Mo structure, with properties calculated at the PBE level.

Calculated values
Space-group type: Pm-3m (221)
Energy of formation in eV/atom: 0.65
Excess energy over the best structure of this formula in the dataset in eV/atom: 0.688
Total energy in eV per atom: -5.34

Cell lengths 4.7016, 4.7016, 4.7016 Å; angles 90.00, 90.00, 90.00 degrees
With the nearest neighbours (Å) after each atom.
Sites, in units of the cell vectors:
Al: 0.0000 0.5000 0.0000  2 Mo 2.35
Al: 0.5000 0.0000 0.0000  2 Mo 2.35
Al: 0.0000 0.0000 0.5000  2 Mo 2.35
Ti: 0.5000 0.5000 0.5000  12 Al 3.32
Mo: 0.0000 0.0000 0.0000  6 Al 2.35

***

# 9
Below is a geometry-optimized Ti8Al2Mo structure, with properties calculated at the PBE level.

Calculated values
Space-group type: P4/mmm (123)
Energy of formation in eV/atom: -0.03
Excess energy over the best structure of this formula in the dataset in eV/atom: 0.147
Total energy in eV per atom: -7.43

Cell lengths 4.1698, 4.1698, 10.9463 Å; angles 90.00, 90.00, 90.00 degrees
With the nearest neighbours (Å) after each atom.
Sites, in units of the cell vectors:
Ti: 0.0000 0.5000 0.5000  8 Ti 2.84-2.95, 4 Al 2.89
Ti: 0.0000 0.5000 0.8581  2 Mo 2.60, 2 Al 2.84, 2 Ti 2.89
Ti: 0.5000 0.0000 0.5000  8 Ti 2.84-2.95, 4 Al 2.89
Ti: 0.5000 0.5000 0.3243  8 Ti 2.84-2.89, 4 Al 2.95
Ti: 0.5000 0.0000 0.1419  2 Mo 2.60, 2 Al 2.84, 2 Ti 2.89
Ti: 0.5000 0.5000 0.6757  8 Ti 2.84-2.89, 4 Al 2.95
Ti: 0.0000 0.5000 0.1419  2 Mo 2.60, 2 Al 2.84, 2 Ti 2.89
Ti: 0.5000 0.0000 0.8581  2 Mo 2.60, 2 Al 2.84, 2 Ti 2.89
Mo: 0.0000 0.0000 0.0000  8 Ti 2.60
Al: 0.0000 0.0000 0.6826  12 Ti 2.84-2.95
Al: 0.0000 0.0000 0.3174  12 Ti 2.84-2.95

***

# 10
Below is a geometry-optimized Ti2AlMo structure, with properties calculated at the PBE level.

Calculated values
Space-group type: P4/mmm (123)
Energy of formation in eV/atom: -0.34
Total energy in eV per atom: -7.93

Cell lengths 3.2561, 3.2561, 6.0941 Å; angles 90.00, 90.00, 90.00 degrees
With the nearest neighbours (Å) after each atom.
Sites, in units of the cell vectors:
Ti: 0.0000 0.0000 0.7642  4 Mo 2.71, 4 Al 2.81, 1 Ti 2.87
Ti: 0.0000 0.0000 0.2358  4 Mo 2.71, 4 Al 2.81, 1 Ti 2.87
Mo: 0.5000 0.5000 0.0000  8 Ti 2.71
Al: 0.5000 0.5000 0.5000  8 Ti 2.81, 2 Mo 3.05